# 1
The following is a GGA-PBE calculation of a relaxed La3NdTm2Sb6 crystal, from Alexandria.

Summary:
The volume comes out at 32.54 Å³/atom. As for the total moment: 0.0 Bohr magnetons per cell. As for the final energy: -67.42 eV/f.u. The energy relative to the elements, uncorrected comes out at -1.183 eV per atom.

Lattice parameters (Å, degrees): 7.830 7.830 7.804 99.63 99.63 120.00
Fractional positions:
La (0.000, 0.000, 0.000)
La (0.336, 0.664, 0.000)
La (0.664, 0.336, 0.000)
Nd (0.500, 0.500, 0.500)
Tm (0.167, 0.833, 0.500)
Tm (0.833, 0.167, 0.500)
Sb (0.081, 0.420, 0.262)
Sb (0.238, 0.238, 0.736)
Sb (0.420, 0.081, 0.262)
Sb (0.580, 0.919, 0.738)
Sb (0.762, 0.762, 0.264)
Sb (0.919, 0.580, 0.738)



# 2
The following is a GGA-PBE calculation of a relaxed YSi2Mo2 crystal, from Alexandria.

Summary:
The volume comes out at 18.77 Å³/atom. As for the total moment: 0.0 Bohr magnetons per cell. As for the final energy: -39.77 eV/f.u. As for the energy above the lowest structure with this stoichiometry: 0.158 eV/atom. The energy relative to the elements, uncorrected comes out at -0.160 eV per atom.

Lattice parameters (Å, degrees): 4.586 4.586 8.927 90.00 90.00 90.00
Fractional positions:
Y (0.000, 0.000, 0.000)
Y (0.500, 0.500, 0.500)
Si (0.000, 0.500, 0.250)
Si (0.000, 0.500, 0.750)
Si (0.500, 0.000, 0.250)
Si (0.500, 0.000, 0.750)
Mo (0.000, 0.000, 0.372)
Mo (0.000, 0.000, 0.628)
Mo (0.500, 0.500, 0.128)
Mo (0.500, 0.500, 0.872)



# 3
The following is a GGA-PBE calculation of a relaxed ScTi crystal, from Alexandria.

Summary:
The volume comes out at 45.65 Å³/atom. As for the total moment: 29.5 Bohr magnetons per cell. For the formation energy from the elements, the calculation gives 2197 meV per atom. As for the final energy: -9.83 eV/f.u. As for the energy above the lowest structure with this stoichiometry: 2.112 eV/atom.

Lattice parameters (Å, degrees): 8.182 8.182 8.182 90.00 90.00 90.00
Fractional positions:
Sc (0.000, 0.250, 0.500)
Sc (0.000, 0.750, 0.500)
Sc (0.250, 0.500, 0.000)
Sc (0.500, 0.000, 0.250)
Sc (0.500, 0.000, 0.750)
Sc (0.750, 0.500, 0.000)
Ti (0.000, 0.500, 0.250)
Ti (0.000, 0.500, 0.750)
Ti (0.250, 0.000, 0.500)
Ti (0.500, 0.250, 0.000)
Ti (0.500, 0.750, 0.000)
Ti (0.750, 0.000, 0.500)



# 4
The following is a GGA-PBE calculation of a relaxed CaPm7Dy3 crystal, from Alexandria.

Summary:
The volume comes out at 35.81 Å³/atom. As for the total moment: 0.0 Bohr magnetons per cell. For the formation energy from the elements, the calculation gives 215 meV per atom. As for the final energy: -46.70 eV/f.u.

Lattice parameters (Å, degrees): 7.216 7.216 8.736 90.00 90.00 120.00
Fractional positions:
Ca (0.000, 0.000, 0.000)
Pm (0.169, 0.338, 0.338)
Pm (0.169, 0.831, 0.338)
Pm (0.502, 0.004, 0.992)
Pm (0.502, 0.498, 0.992)
Pm (0.662, 0.831, 0.338)
Pm (0.667, 0.333, 0.321)
Pm (0.996, 0.498, 0.992)
Dy (0.338, 0.169, 0.657)
Dy (0.831, 0.169, 0.657)
Dy (0.831, 0.662, 0.657)